1.
The following is a GGA-PBE calculation of La5Nd4Al after structural relaxation, from Alexandria.

Cell: 4.2538 4.2538 18.8926 Å, 90.00 90.00 90.00°
Closest atoms and distances in Å follow each position.
Positions (direct):
La: 0.0000 0.0000 0.0000  8 Nd 3.56, 2 La 3.82
La: 0.0000 0.0000 0.2021  8 Nd 3.56-3.61, 1 La 3.82
La: 0.0000 0.0000 0.4170  1 La 3.13, 4 Al 3.39
La: 0.0000 0.0000 0.5830  1 La 3.13, 4 Al 3.39
La: 0.0000 0.0000 0.7979  8 Nd 3.56-3.61, 1 La 3.82
Nd: 0.5000 0.5000 0.1013  8 La 3.56, 2 Nd 3.83-3.90
Nd: 0.5000 0.5000 0.3076  8 La 3.61-3.65, 1 Al 3.63, 1 Nd 3.90
Nd: 0.5000 0.5000 0.6924  8 La 3.61-3.65, 1 Al 3.63, 1 Nd 3.90
Nd: 0.5000 0.5000 0.8987  8 La 3.56, 2 Nd 3.83-3.90
Al: 0.5000 0.5000 0.5000  8 La 3.39, 2 Nd 3.63

Output
DOS at the Fermi energy	18.14	states/eV per cell


2.
The following is a GGA-PBE calculation of La5Nd8Al after structural relaxation, from Alexandria.

Cell: 8.7347 8.7347 8.7347 Å, 103.56 103.56 122.07°
Closest atoms and distances in Å follow each position.
Positions (direct):
La: 0.0000 0.0000 0.0000  4 Nd 3.73, 4 La 4.04
La: 0.3971 0.5871 0.7992  3 Nd 3.21-3.52, 2 La 3.37
La: 0.4021 0.6029 0.1900  3 Nd 3.21-3.52, 2 La 3.37
La: 0.4129 0.2121 0.8100  3 Nd 3.21-3.52, 2 La 3.37
La: 0.7879 0.5979 0.2008  3 Nd 3.21-3.52, 2 La 3.37
Nd: 0.0759 0.4163 0.3401  1 La 3.21, 1 Al 3.25, 3 Nd 3.45-3.59
Nd: 0.0762 0.7359 0.6599  1 La 3.21, 1 Al 3.25, 3 Nd 3.45-3.59
Nd: 0.2641 0.9241 0.3403  1 La 3.21, 1 Al 3.25, 3 Nd 3.45-3.59
Nd: 0.5399 0.4438 0.4834  1 Al 3.09, 1 La 3.46
Nd: 0.5562 0.0395 0.0960  1 Al 3.09, 1 La 3.46
Nd: 0.5837 0.9238 0.6597  1 La 3.21, 1 Al 3.25, 3 Nd 3.45-3.59
Nd: 0.9435 0.4601 0.9040  1 Al 3.09, 1 La 3.46
Nd: 0.9605 0.0565 0.5166  1 Al 3.09, 1 La 3.46
Al: 0.7500 0.2500 0.5000  8 Nd 3.09-3.25

Output
DOS at the Fermi energy	20.02	states/eV per cell


3.
The following is a GGA-PBE calculation of LaNd4Al5 after structural relaxation, from Alexandria.

Cell: 3.7463 3.7463 18.6885 Å, 90.00 90.00 90.00°
Closest atoms and distances in Å follow each position.
Positions (direct):
La: 0.0000 0.0000 0.0000  8 Al 3.29
Nd: 0.0000 0.0000 0.2025  8 Al 3.22-3.23
Nd: 0.0000 0.0000 0.4008  8 Al 3.23
Nd: 0.0000 0.0000 0.5992  8 Al 3.23
Nd: 0.0000 0.0000 0.7975  8 Al 3.22-3.23
Al: 0.5000 0.5000 0.1048  4 Nd 3.22, 4 La 3.29
Al: 0.5000 0.5000 0.3015  8 Nd 3.23
Al: 0.5000 0.5000 0.5000  8 Nd 3.23
Al: 0.5000 0.5000 0.6985  8 Nd 3.23
Al: 0.5000 0.5000 0.8952  4 Nd 3.22, 4 La 3.29

Output
DOS at the Fermi energy	3.69	states/eV per cell


4.
The following is a GGA-PBE calculation of La3Nd4Al after structural relaxation, from Alexandria.

Cell: 4.9898 10.2746 10.2167 Å, 90.00 90.00 90.00°
Closest atoms and distances in Å follow each position.
Positions (direct):
La: 0.2500 0.0043 0.1135  5 La 3.41-3.61, 3 Al 3.55-3.58, 4 Nd 3.57-3.73
La: 0.2500 0.2500 0.8859  6 La 3.43-3.61, 2 Al 3.50, 4 Nd 3.65-3.72
La: 0.2500 0.4957 0.1135  5 La 3.41-3.61, 3 Al 3.55-3.58, 4 Nd 3.57-3.73
La: 0.7500 0.5043 0.8865  5 La 3.41-3.61, 3 Al 3.55-3.58, 4 Nd 3.57-3.73
La: 0.7500 0.7500 0.1141  6 La 3.43-3.61, 2 Al 3.50, 4 Nd 3.65-3.72
La: 0.7500 0.9957 0.8865  5 La 3.41-3.61, 3 Al 3.55-3.58, 4 Nd 3.57-3.73
Nd: 0.2500 0.2500 0.3611  2 Al 3.46, 8 Nd 3.51-3.85, 2 La 3.57
Nd: 0.2500 0.5100 0.6320  1 Al 3.49, 8 Nd 3.51-3.85, 3 La 3.60-3.72
Nd: 0.2500 0.7500 0.3745  8 Nd 3.61-3.68, 4 La 3.65-3.73
Nd: 0.2500 0.9900 0.6320  1 Al 3.49, 8 Nd 3.51-3.85, 3 La 3.60-3.72
Nd: 0.7500 0.0100 0.3680  1 Al 3.49, 8 Nd 3.51-3.85, 3 La 3.60-3.72
Nd: 0.7500 0.2500 0.6255  8 Nd 3.61-3.68, 4 La 3.65-3.73
Nd: 0.7500 0.4900 0.3680  1 Al 3.49, 8 Nd 3.51-3.85, 3 La 3.60-3.72
Nd: 0.7500 0.7500 0.6389  2 Al 3.46, 8 Nd 3.51-3.85, 2 La 3.57
Al: 0.2500 0.7500 0.8739  4 Nd 3.46-3.49, 8 La 3.50-3.58
Al: 0.7500 0.2500 0.1261  4 Nd 3.46-3.49, 8 La 3.50-3.58

Output
DOS at the Fermi energy	20.40	states/eV per cell


5.
The following is a GGA-PBE calculation of La4Nd3Al4 after structural relaxation, from Alexandria.

Cell: 9.8953 9.8953 9.8953 Å, 153.45 127.52 59.77°
Closest atoms and distances in Å follow each position.
Positions (direct):
La: 0.0184 0.8388 0.1796  4 Al 3.11-3.20, 1 La 3.14
La: 0.3408 0.1612 0.1796  4 Al 3.11-3.20, 1 La 3.14
La: 0.6592 0.8388 0.8204  4 Al 3.11-3.20, 1 La 3.14
La: 0.9816 0.1612 0.8204  4 Al 3.11-3.20, 1 La 3.14
Nd: 0.0000 0.5000 0.5000  4 Al 3.76, 8 La 3.91
Nd: 0.3876 0.3876 0.0000  6 Al 3.28-3.29
Nd: 0.6124 0.6124 0.0000  6 Al 3.28-3.29
Al: 0.2491 0.7491 0.5000  6 La 3.15-3.20, 2 Nd 3.29
Al: 0.3425 0.0000 0.3425  1 Al 2.76
Al: 0.6575 0.0000 0.6575  1 Al 2.76
Al: 0.7509 0.2509 0.5000  6 La 3.15-3.20, 2 Nd 3.29

Output
DOS at the Fermi energy	14.90	states/eV per cell


6.
The following is a GGA-PBE calculation of LaNdAl4 after structural relaxation, from Alexandria.

Cell: 5.7241 5.7241 5.7241 Å, 60.00 60.00 60.00°
Closest atoms and distances in Å follow each position.
Positions (direct):
La: 0.0000 0.0000 0.0000  12 Al 3.36, 4 Nd 3.51
Nd: 0.2500 0.2500 0.2500  12 Al 3.36, 4 La 3.51
Al: 0.1246 0.6251 0.6251  6 Al 2.86-2.87
Al: 0.6251 0.1246 0.6251  6 Al 2.86-2.87
Al: 0.6251 0.6251 0.1246  6 Al 2.86-2.87
Al: 0.6251 0.6251 0.6251  6 Al 2.86-2.87

Output
DOS at the Fermi energy	4.48	states/eV per cell


Number 1: electronic total energy -4.72 eV/atom. Number 2: electronic total energy -4.64 eV/atom. Number 3: electronic total energy -4.63 eV/atom. Number 4: electronic total energy -4.76 eV/atom. Number 5: electronic total energy -4.57 eV/atom. Number 6: electronic total energy -4.61 eV/atom.